# Ni3PdO | the Alexandria database | PBE+U | relaxed
# Distance to the lowest polymorph of the same formula = 0 meV/atom
data_Ni3PdO
_chemical_formula_sum 'Ni3 Pd1 O1'
_cell_length_a 3.913
_cell_length_b 3.913
_cell_length_c 3.913
_cell_angle_alpha 90.00
_cell_angle_beta 90.00
_cell_angle_gamma 90.00
_symmetry_space_group_name_H-M 'P m -3 m'
_symmetry_Int_Tables_number 221
_symmetry_space_group_name_Hall '-P 4 2 3'
loop_
_atom_site_label
_atom_site_fract_x
_atom_site_fract_y
_atom_site_fract_z
_atom_site_occupancy
Ni1 0.000 0.000 0.500 1
Pd1 0.500 0.500 0.500 1
O1 0.000 0.000 0.000 1